A relaxed structure of Li2CrCuF6. Source: the Alexandria database, functional GGA+U.

E above lowest polymorph (meV/atom): 238
Total energy (eV for the cell shown): -48.9

Unit cell a=5.7212 b=5.7212 c=5.7212 alpha=60.00 beta=60.00 gamma=60.00
Sites, in units of the cell vectors:
Li: 0.2500 0.2500 0.2500
Li: 0.7500 0.7500 0.7500
Cr: 0.0000 0.0000 0.0000
Cu: 0.5000 0.5000 0.5000
F: 0.2418 0.2418 0.7582
F: 0.2418 0.7582 0.2418
F: 0.2418 0.7582 0.7582
F: 0.7582 0.2418 0.2418
F: 0.7582 0.2418 0.7582
F: 0.7582 0.7582 0.2418